First-principles (GGA+U) data for a relaxed structure of V2AgAuF, as listed in the Alexandria database.

Geometry as CIF:
```
data_V2AgAuF
_chemical_formula_sum 'V2 Ag1 Au1 F1'
_symmetry_space_group_name_H-M 'P 1'
_symmetry_Int_Tables_number 1
_symmetry_space_group_name_Hall 'P 1'
_cell_length_a 5.245
_cell_length_b 4.397
_cell_length_c 5.245
_cell_angle_alpha 90.00
_cell_angle_beta 90.00
_cell_angle_gamma 90.00
loop_
_atom_site_label
_atom_site_type_symbol
_atom_site_fract_x
_atom_site_fract_y
_atom_site_fract_z
_atom_site_occupancy
V1 V 0.000 0.000 0.500 1
V2 V 0.500 0.000 0.000 1
Ag1 Ag 0.500 0.500 0.500 1
Au1 Au 0.000 0.000 0.000 1
F1 F 0.000 0.500 0.000 1
```

Calculated values
Symmetry: No. 123
Total moment: 1.30 μB/atom
Total DFT energy (no corrections): -0.27286 Ry/atom
Crystal system: tetragonal